! ScOs | Alexandria | GGA-PBE | relaxed; values from VASP
! raw total energy: -34.628 eV for the cell shown
! total moment: 0.00 μB per formula unit
! ΔH_f (0 K): 0.124 eV/atom
&SYSTEM
  ibrav = 0, nat = 4, ntyp = 2
/
ATOMIC_SPECIES
Os 190.23 Os.upf
Sc 44.96 Sc.upf
ATOMIC_POSITIONS crystal
Os 0.000 0.000 0.002
Os 0.500 0.500 0.248
Sc 0.000 0.000 0.453
Sc 0.500 0.500 0.797
CELL_PARAMETERS angstrom
3.226 0.000 0.000
0.000 3.226 0.000
0.000 0.000 6.943

***

! Ti2Zn2InCu2 | Alexandria | GGA-PBE | relaxed; values from VASP
! raw total energy: -29.034 eV for the cell shown
! total moment: 0.14 μB per formula unit
! ΔH_f (0 K): 0.033 eV/atom
&SYSTEM
  ibrav = 0, nat = 7, ntyp = 4
/
ATOMIC_SPECIES
Ti 47.87 Ti.upf
Zn 65.41 Zn.upf
In 114.82 In.upf
Cu 63.55 Cu.upf
ATOMIC_POSITIONS crystal
Ti 0.718 0.718 0.846
Ti 0.282 0.282 0.154
Zn 0.141 0.141 0.576
Zn 0.859 0.859 0.424
In 0.000 0.000 0.000
Cu 0.566 0.566 0.303
Cu 0.434 0.434 0.697
CELL_PARAMETERS angstrom
4.433 0.000 0.000
2.216 3.839 0.000
2.216 1.280 6.469

***

! CdTc2Pb | Alexandria | GGA-PBE | relaxed; values from VASP
! raw total energy: -21.979 eV for the cell shown
! total moment: 1.65 μB per formula unit
! ΔH_f (0 K): 0.844 eV/atom
&SYSTEM
  ibrav = 0, nat = 4, ntyp = 3
/
ATOMIC_SPECIES
Cd 112.41 Cd.upf
Pb 207.20 Pb.upf
Tc 98.00 Tc.upf
ATOMIC_POSITIONS crystal
Cd 0.500 0.500 0.250
Pb 0.500 0.500 0.750
Tc 0.000 0.000 0.998
Tc 0.000 0.000 0.502
CELL_PARAMETERS angstrom
2.986 -0.004 0.000
-1.192 2.737 0.000
0.000 0.000 9.203

***

! Rb2NdAgCl6 | Alexandria | GGA-PBE | relaxed; values from VASP
! raw formation energy: -17.9 eV/f.u.
! raw total energy: -38.511 eV for the cell shown
! total moment: 0.00 μB per formula unit
&SYSTEM
  ibrav = 0, nat = 10, ntyp = 4
/
ATOMIC_SPECIES
Rb 85.47 Rb.upf
Nd 144.24 Nd.upf
Ag 107.87 Ag.upf
Cl 35.45 Cl.upf
ATOMIC_POSITIONS crystal
Rb 0.750 0.750 0.750
Rb 0.250 0.250 0.250
Nd 0.500 0.500 0.500
Ag 0.000 0.000 0.000
Cl 0.749 0.251 0.251
Cl 0.251 0.251 0.749
Cl 0.251 0.749 0.749
Cl 0.251 0.749 0.251
Cl 0.749 0.251 0.749
Cl 0.749 0.749 0.251
CELL_PARAMETERS angstrom
7.734 0.000 0.000
3.867 6.698 0.000
3.867 2.233 6.315

***

! Pm2Sn2Au15 | Alexandria | GGA-PBE | relaxed; values from VASP
! raw total energy: -71.885 eV for the cell shown
! total moment: 0.00 μB per formula unit
! ΔH_f (0 K): -0.275 eV/atom
&SYSTEM
  ibrav = 0, nat = 19, ntyp = 3
/
ATOMIC_SPECIES
Pm 145.00 Pm.upf
Sn 118.71 Sn.upf
Au 196.97 Au.upf
ATOMIC_POSITIONS crystal
Pm 0.356 0.356 0.356
Pm 0.644 0.644 0.644
Sn 0.101 0.101 0.101
Sn 0.899 0.899 0.899
Au 0.000 0.500 0.000
Au 0.000 0.000 0.500
Au 0.500 0.000 0.000
Au 0.667 0.000 0.333
Au 0.333 0.667 0.000
Au 0.000 0.333 0.667
Au 0.667 0.333 0.000
Au 0.000 0.667 0.333
Au 0.333 0.000 0.667
Au 0.660 0.175 0.660
Au 0.660 0.660 0.175
Au 0.175 0.660 0.660
Au 0.340 0.825 0.340
Au 0.340 0.340 0.825
Au 0.825 0.340 0.340
CELL_PARAMETERS angstrom
-0.815 -3.097 6.654
-2.758 -6.441 -2.333
6.352 -3.766 0.028

***

! Nd6NiIr2Cl3 | Alexandria | GGA-PBE | relaxed; values from VASP
! raw formation energy: -13.2 eV/f.u.
! raw total energy: -70.858 eV for the cell shown
! total moment: 0.00 μB per formula unit
&SYSTEM
  ibrav = 0, nat = 12, ntyp = 4
/
ATOMIC_SPECIES
Nd 144.24 Nd.upf
Ni 58.69 Ni.upf
Ir 192.22 Ir.upf
Cl 35.45 Cl.upf
ATOMIC_POSITIONS crystal
Nd 0.344 0.895 0.688
Nd 0.677 0.554 0.354
Nd 0.656 0.105 0.312
Nd 0.009 0.220 0.017
Nd 0.991 0.780 0.983
Nd 0.323 0.446 0.646
Ni 0.500 0.000 0.000
Ir 0.836 0.673 0.671
Ir 0.164 0.327 0.329
Cl 0.500 0.500 0.000
Cl 0.834 0.167 0.668
Cl 0.166 0.833 0.332
CELL_PARAMETERS angstrom
4.118 0.000 0.000
0.000 8.890 -0.166
-2.059 -3.067 9.062

***

! TeI2N2 | Alexandria | GGA-PBE | relaxed; values from VASP
! raw formation energy: 8.4 eV/f.u.
! raw total energy: -14.540 eV for the cell shown
! total moment: 2.92 μB per formula unit
&SYSTEM
  ibrav = 0, nat = 5, ntyp = 3
/
ATOMIC_SPECIES
I 126.90 I.upf
Te 127.60 Te.upf
N 14.01 N.upf
ATOMIC_POSITIONS crystal
I 0.000 0.500 0.000
I 0.500 0.000 0.000
Te 0.000 0.000 0.000
N 0.500 0.500 0.500
N 0.000 0.000 0.500
CELL_PARAMETERS angstrom
6.349 0.000 0.000
0.000 6.349 0.000
0.000 0.000 3.937

***

! NaNdSnPb | Alexandria | GGA-PBE | relaxed; values from VASP
! raw total energy: -15.062 eV for the cell shown
! total moment: 0.00 μB per formula unit
! ΔH_f (0 K): -0.316 eV/atom
&SYSTEM
  ibrav = 0, nat = 4, ntyp = 4
/
ATOMIC_SPECIES
Pb 207.20 Pb.upf
Na 22.99 Na.upf
Nd 144.24 Nd.upf
Sn 118.71 Sn.upf
ATOMIC_POSITIONS crystal
Pb 0.750 0.750 0.750
Na 0.500 0.500 0.500
Nd 0.000 0.000 0.000
Sn 0.250 0.250 0.250
CELL_PARAMETERS angstrom
-1.616 -4.942 -1.718
-0.577 -4.093 3.591
-4.997 -1.842 1.272